(1)
VASP calculation (PBEsol) on crystalline CrTc2Ni at its relaxed geometry.

The structure in POSCAR format:
```
CrTc2Ni
1.0
-1.615 -1.253 -1.561
2.478 -3.238 0.035
-1.622 -1.193 4.424
Cr Ni Tc
1 1 2
Direct
0.368 0.000 0.490 Cr
0.417 0.500 0.754 Ni
0.004 0.000 0.975 Tc
0.711 0.500 0.281 Tc
```

ΔH_f (0 K) (eV per atom): 0.087
Calculated total energy (Ry per atom): -0.7089


(2)
VASP calculation (PBEsol) on crystalline TlCr2Te at its relaxed geometry.

The structure in POSCAR format:
```
TlCr2Te
1.0
4.570 0.000 0.000
2.285 3.958 0.000
2.285 1.319 3.731
Cr Tl Te
2 1 1
Direct
0.250 0.250 0.250 Cr
0.750 0.750 0.750 Cr
0.500 0.500 0.500 Tl
0.000 0.000 0.000 Te
```

Formation energy without anion corrections (meV/atom): 756
Calculated total energy (Ry per atom): -0.4339


(3)
VASP calculation (PBEsol) on crystalline YBi2SeCl at its relaxed geometry.

The structure in POSCAR format:
```
YBi2SeCl
1.0
5.273 0.000 0.000
0.000 5.233 0.000
0.000 0.000 5.233
Y Bi Se Cl
1 2 1 1
Direct
0.500 0.500 0.500 Y
0.000 0.000 0.500 Bi
0.000 0.500 0.000 Bi
0.500 0.000 0.000 Se
0.000 0.000 0.000 Cl
```

Formation energy without anion corrections (meV/atom): 89
Calculated total energy (Ry per atom): -0.3058


(4)
VASP calculation (PBEsol) on crystalline LiScTc at its relaxed geometry.

The structure in POSCAR format:
```
LiScTc
1.0
-0.718 -3.039 -0.951
1.236 0.632 -2.954
3.675 -0.151 3.308
Li Sc Tc
1 1 1
Direct
0.987 0.987 0.974 Li
0.674 0.674 0.349 Sc
0.339 0.339 0.677 Tc
```

ΔH_f (0 K) (eV per atom): 0.266
Calculated total energy (Ry per atom): -0.4665


(5)
VASP calculation (PBEsol) on crystalline MgBrO2 at its relaxed geometry.

The structure in POSCAR format:
```
MgBrO2
1.0
-1.569 -0.496 -3.756
-3.639 -1.829 -0.477
-3.261 2.195 -1.166
Mg O Br
1 2 1
Direct
0.000 0.000 0.000 Mg
0.250 0.250 0.250 O
0.750 0.750 0.750 O
0.500 0.500 0.500 Br
```

Formation energy without anion corrections (meV/atom): -106
Calculated total energy (Ry per atom): -0.2666


(6)
VASP calculation (PBEsol) on crystalline LiBeH4NF4 at its relaxed geometry.

The structure in POSCAR format:
```
LiBeH4NF4
1.0
4.889 0.000 0.000
0.000 8.922 0.000
0.000 0.000 9.456
Be F H Li N
4 16 16 4 4
Direct
0.119 0.802 0.095 Be
0.881 0.302 0.905 Be
0.881 0.802 0.595 Be
0.119 0.302 0.405 Be
0.131 0.977 0.112 F
0.869 0.477 0.888 F
0.869 0.977 0.612 F
0.131 0.477 0.388 F
0.767 0.755 0.447 F
0.233 0.255 0.553 F
0.233 0.755 0.947 F
0.767 0.255 0.053 F
0.810 0.752 0.085 F
0.190 0.252 0.915 F
0.190 0.752 0.585 F
0.810 0.252 0.415 F
0.254 0.733 0.225 F
0.746 0.233 0.775 F
0.746 0.733 0.725 F
0.254 0.233 0.275 F
0.784 0.483 0.300 H
0.216 0.983 0.700 H
0.216 0.483 0.800 H
0.784 0.983 0.200 H
0.446 0.490 0.264 H
0.554 0.990 0.736 H
0.554 0.490 0.764 H
0.446 0.990 0.236 H
0.671 0.596 0.169 H
0.329 0.096 0.831 H
0.329 0.596 0.669 H
0.671 0.096 0.331 H
0.668 0.402 0.151 H
0.332 0.902 0.849 H
0.332 0.402 0.651 H
0.668 0.902 0.349 H
0.132 0.683 0.400 Li
0.868 0.183 0.600 Li
0.868 0.683 0.900 Li
0.132 0.183 0.100 Li
0.640 0.493 0.220 N
0.360 0.993 0.780 N
0.360 0.493 0.720 N
0.640 0.993 0.280 N
```

Calculated total energy (Ry per atom): -0.3810